Record 1
DFT (PBE-GGA) results for NaTbCdSe3 after structural relaxation.

Cell and atoms, written as POSCAR:
```
NaTbCdSe3
1.0
8.236 0.000 0.000
0.000 4.213 0.000
-2.777 0.000 9.989
Na Tb Cd Se
2 2 2 6
Direct
0.195 0.250 0.177 Na
0.805 0.750 0.823 Na
0.325 0.750 0.858 Tb
0.675 0.250 0.142 Tb
0.078 0.250 0.608 Cd
0.922 0.750 0.392 Cd
0.079 0.250 0.862 Se
0.252 0.750 0.555 Se
0.438 0.750 0.144 Se
0.562 0.250 0.856 Se
0.748 0.250 0.445 Se
0.921 0.750 0.138 Se
```

Results
Uncorrected energy in eV/atom: -4.14



Record 2
DFT (PBE-GGA) results for PuPbW after structural relaxation.

Cell and atoms, written as POSCAR:
```
PuPbW
1.0
6.632 0.000 0.000
0.000 6.632 0.000
0.000 0.000 6.632
Pu Pb W
4 4 4
Direct
0.000 0.000 0.000 Pu
0.000 0.500 0.500 Pu
0.500 0.000 0.500 Pu
0.500 0.500 0.000 Pu
0.000 0.000 0.500 Pb
0.000 0.500 0.000 Pb
0.500 0.000 0.000 Pb
0.500 0.500 0.500 Pb
0.250 0.250 0.250 W
0.250 0.750 0.750 W
0.750 0.250 0.750 W
0.750 0.750 0.250 W
```

Results
Uncorrected energy in eV/atom: -9.48



Record 3
DFT (PBE-GGA) results for ZrInPd2 after structural relaxation.

Cell and atoms, written as POSCAR:
```
ZrInPd2
1.0
3.408 0.000 0.000
0.000 3.408 0.000
0.000 0.000 6.443
Zr In Pd
1 1 2
Direct
0.000 0.000 0.000 Zr
0.000 0.000 0.500 In
0.500 0.500 0.233 Pd
0.500 0.500 0.767 Pd
```

Results
Uncorrected energy in eV/atom: -6.02



Record 4
DFT (PBE-GGA) results for YHoS2Cl2 after structural relaxation.

Cell and atoms, written as POSCAR:
```
YHoS2Cl2
1.0
3.986 0.000 0.000
0.000 5.349 0.000
0.000 0.000 8.398
Y Ho S Cl
1 1 2 2
Direct
0.000 0.000 0.000 Y
0.500 0.500 0.278 Ho
0.000 0.500 0.056 S
0.500 0.000 0.226 S
0.000 0.500 0.487 Cl
0.500 0.000 0.788 Cl
```

Results
Uncorrected energy in eV/atom: -6.02



Record 5
DFT (PBE-GGA) results for PrFe2SbAs after structural relaxation.

Cell and atoms, written as POSCAR:
```
PrFe2SbAs
1.0
4.302 0.000 0.000
0.000 4.302 0.000
0.000 0.000 10.169
Pr Fe Sb As
2 4 2 2
Direct
0.250 0.250 0.225 Pr
0.750 0.750 0.775 Pr
0.250 0.250 0.900 Fe
0.250 0.750 0.500 Fe
0.750 0.250 0.500 Fe
0.750 0.750 0.100 Fe
0.250 0.250 0.653 Sb
0.750 0.750 0.347 Sb
0.250 0.750 0.000 As
0.750 0.250 0.000 As
```

Results
Uncorrected energy in eV/atom: -6.48



Record 6
DFT (PBE-GGA) results for Lu4AlFeN2 after structural relaxation.

Cell and atoms, written as POSCAR:
```
Lu4AlFeN2
1.0
3.332 0.000 0.000
-1.666 2.886 0.000
0.000 0.000 14.686
Lu Al Fe N
4 1 1 2
Direct
0.000 0.000 0.142 Lu
0.000 0.000 0.858 Lu
0.667 0.333 0.328 Lu
0.667 0.333 0.672 Lu
0.000 0.000 0.500 Al
0.667 0.333 0.000 Fe
0.333 0.667 0.244 N
0.333 0.667 0.756 N
```

Results
Uncorrected energy in eV/atom: -6.68



What did the fifth record say?
DFT (PBE-GGA) results for PrFe2SbAs after structural relaxation.

Cell and atoms, written as POSCAR:
```
PrFe2SbAs
1.0
4.302 0.000 0.000
0.000 4.302 0.000
0.000 0.000 10.169
Pr Fe Sb As
2 4 2 2
Direct
0.250 0.250 0.225 Pr
0.750 0.750 0.775 Pr
0.250 0.250 0.900 Fe
0.250 0.750 0.500 Fe
0.750 0.250 0.500 Fe
0.750 0.750 0.100 Fe
0.250 0.250 0.653 Sb
0.750 0.750 0.347 Sb
0.250 0.750 0.000 As
0.750 0.250 0.000 As
```

Results
Uncorrected energy in eV/atom: -6.48



Q: Look up the uncorrected energy of the sixth one.
A: -6.68 eV/atom



Q: uncorrected energy of number 2 (PuPbW)?
A: -9.48 eV/atom